1.
Density functional theory data (PBE-GGA) for a relaxed SiHCl3 crystal.

Properties
calculated total energy = -2.47 eV/atom

abc: 4.382 4.382 4.382
angles: 90.00 90.00 90.00
Element x y z (fractional)
Si: 0.500 0.500 0.500
Cl: 0.000 0.500 0.000
Cl: 0.500 0.000 0.000
Cl: 0.000 0.000 0.500
H: 0.000 0.000 0.000



2.
Density functional theory data (PBE-GGA) for a relaxed PrHSe crystal.

Properties
calculated total energy = -4.94 eV/atom

abc: 4.694 4.694 4.694
angles: 60.00 60.00 60.00
Element x y z (fractional)
H: 0.000 0.000 0.000
Pr: 0.250 0.250 0.250
Se: 0.500 0.500 0.500



3.
Density functional theory data (PBE-GGA) for a relaxed NbBNO2 crystal.

Properties
calculated total energy = -7.65 eV/atom
formation energy (no corrections) = -15.05 kcal/mol of atoms

abc: 3.259 3.259 3.708
angles: 90.00 90.00 90.00
Element x y z (fractional)
N: 0.000 0.000 0.500
O: 0.500 0.000 0.000
O: 0.000 0.500 0.000
Nb: 0.500 0.500 0.500
B: 0.000 0.000 0.000



4.
Density functional theory data (PBE-GGA) for a relaxed Os2Br crystal.

Properties
calculated total energy = -7.36 eV/atom
formation energy (no corrections) = 15.80 kcal/mol of atoms

abc: 8.805 8.805 5.425
angles: 80.96 80.96 21.22
Element x y z (fractional)
Br: 0.904 0.904 0.298
Br: 0.096 0.096 0.702
Os: 0.707 0.707 0.401
Os: 0.293 0.293 0.599
Os: 0.288 0.288 0.110
Os: 0.712 0.712 0.890



5.
Density functional theory data (PBE-GGA) for a relaxed Be2AlZn2Au5 crystal.

Properties
calculated total energy = -3.17 eV/atom
energy of formation = -147 kJ/mol of formula units

abc: 3.000 10.323 10.323
angles: 90.00 90.00 90.00
Element x y z (fractional)
Au: 0.500 0.379 0.321
Au: 0.500 0.121 0.821
Au: 0.500 0.679 0.379
Au: 0.500 0.821 0.879
Au: 0.500 0.179 0.121
Au: 0.500 0.621 0.679
Au: 0.500 0.321 0.621
Au: 0.500 0.879 0.179
Au: 0.500 0.000 0.500
Au: 0.500 0.500 0.000
Be: 0.000 0.366 0.134
Be: 0.000 0.134 0.634
Be: 0.000 0.634 0.866
Be: 0.000 0.866 0.366
Al: 0.000 0.500 0.500
Al: 0.000 0.000 0.000
Zn: 0.000 0.653 0.153
Zn: 0.000 0.153 0.347
Zn: 0.000 0.347 0.847
Zn: 0.000 0.847 0.653



6.
Density functional theory data (PBE-GGA) for a relaxed ErZnH8Ir2 crystal.

Properties
calculated total energy = -4.37 eV/atom

abc: 4.256 4.612 6.360
angles: 65.10 70.45 62.52
Element x y z (fractional)
Ir: 0.292 0.268 0.148
Ir: 0.708 0.732 0.852
H: 0.405 0.987 0.678
H: 0.917 0.508 0.657
H: 0.595 0.013 0.322
H: 0.713 0.448 0.127
H: 0.287 0.552 0.873
H: 0.083 0.492 0.343
H: 0.930 0.987 0.678
H: 0.070 0.013 0.322
Er: 0.500 0.500 0.500
Zn: 0.000 0.000 0.000



7.
Density functional theory data (PBE-GGA) for a relaxed Cr3InCo crystal.

Properties
calculated total energy = -6.76 eV/atom
energy of formation = 475 kJ/mol of formula units

abc: 4.350 4.350 4.350
angles: 90.00 90.00 90.00
Site moments in Bohr magnetons follow the coordinates.
Element x y z (fractional)
Cr: 0.500 0.000 0.000  1.86
Cr: 0.000 0.000 0.500  1.71
Cr: 0.000 0.500 0.000  1.85
In: 0.500 0.500 0.500  -0.13
Co: 0.000 0.000 0.000  -0.44



8.
Density functional theory data (PBE-GGA) for a relaxed Tm3TeAsS crystal.

Properties
calculated total energy = -5.56 eV/atom
formation energy (no corrections) = -30.80 kcal/mol of atoms

abc: 6.724 6.760 7.907
angles: 64.69 82.65 72.58
Element x y z (fractional)
Tm: 0.001 0.321 0.865
Tm: 0.250 0.745 0.509
Tm: 0.499 0.814 0.865
Tm: 0.750 0.255 0.491
Tm: 0.999 0.679 0.135
Tm: 0.501 0.186 0.135
S: 0.750 0.441 0.118
S: 0.250 0.559 0.882
Te: 0.750 0.749 0.501
Te: 0.250 0.251 0.499
As: 0.250 0.934 0.132
As: 0.750 0.066 0.868



9.
Density functional theory data (PBE-GGA) for a relaxed LaAlCl2 crystal.

Properties
calculated total energy = -4.20 eV/atom
formation energy (no corrections) = -25.68 kcal/mol of atoms

abc: 3.756 5.720 4.537
angles: 90.00 90.00 90.00
Element x y z (fractional)
Al: 0.000 0.500 0.500
Cl: 0.500 0.500 0.000
Cl: 0.000 0.000 0.000
La: 0.500 0.000 0.500